No. 1
Below is crystalline LaZn at its relaxed geometry, with properties calculated at the GGA-PBE level. Values from VASP.

Cell and atoms, written as Quantum ESPRESSO input:
```
&SYSTEM
  ibrav = 0, nat = 6, ntyp = 2
/
ATOMIC_SPECIES
La 138.91 La.upf
Zn 65.41 Zn.upf
CELL_PARAMETERS angstrom
6.0309 -1.8447 0.0000
6.0309 1.8447 0.0000
-2.3877 0.0000 6.8539
ATOMIC_POSITIONS crystal
La 0.0000 0.0000 0.0000
La 0.0121 0.0121 0.4696
La 0.7095 0.7095 0.8384
Zn 0.3120 0.3120 0.2017
Zn 0.3384 0.3384 0.6111
Zn 0.6993 0.6993 0.3416
```

Properties
**V**: 25.42 A^3/atom
**Formation enthalpy at 0 K**: -0.21 eV per atom

No. 2
Below is crystalline La5Zn at its relaxed geometry, with properties calculated at the GGA-PBE level. Values from VASP.

Cell and atoms, written as Quantum ESPRESSO input:
```
&SYSTEM
  ibrav = 0, nat = 6, ntyp = 2
/
ATOMIC_SPECIES
La 138.91 La.upf
Zn 65.41 Zn.upf
CELL_PARAMETERS angstrom
0.0000 4.6855 4.6855
4.6855 0.0000 4.6855
4.6855 4.6855 0.0000
ATOMIC_POSITIONS crystal
La 0.0000 0.0000 0.0000
La 0.1269 0.6244 0.6244
La 0.6244 0.1269 0.6244
La 0.6244 0.6244 0.1269
La 0.6244 0.6244 0.6244
Zn 0.2500 0.2500 0.2500
```

Properties
**V**: 34.29 A^3/atom
**Formation enthalpy at 0 K**: 0.31 eV per atom
**Offset from the most stable computed form**: 0.411 eV per atom

No. 3
Below is crystalline LaZn3 at its relaxed geometry, with properties calculated at the GGA-PBE level. Values from VASP.

Cell and atoms, written as Quantum ESPRESSO input:
```
&SYSTEM
  ibrav = 0, nat = 4, ntyp = 2
/
ATOMIC_SPECIES
La 138.91 La.upf
Zn 65.41 Zn.upf
CELL_PARAMETERS angstrom
3.4185 0.0000 0.0000
0.0000 3.4185 0.0000
0.0000 0.0000 7.0561
ATOMIC_POSITIONS crystal
La 0.0000 0.0000 0.0000
Zn 0.0000 0.0000 0.5000
Zn 0.5000 0.5000 0.3055
Zn 0.5000 0.5000 0.6945
```

Properties
**V**: 20.61 A^3/atom
**Formation enthalpy at 0 K**: -0.13 eV per atom

No. 4
Below is crystalline LaZn3 at its relaxed geometry, with properties calculated at the GGA-PBE level. Values from VASP.

Cell and atoms, written as Quantum ESPRESSO input:
```
&SYSTEM
  ibrav = 0, nat = 8, ntyp = 2
/
ATOMIC_SPECIES
La 138.91 La.upf
Zn 65.41 Zn.upf
CELL_PARAMETERS angstrom
5.6338 0.0000 0.0000
0.0000 5.6338 0.0000
0.0000 0.0000 5.6338
ATOMIC_POSITIONS crystal
La 0.0000 0.0000 0.0000
La 0.5000 0.5000 0.5000
Zn 0.0000 0.2500 0.5000
Zn 0.0000 0.7500 0.5000
Zn 0.2500 0.5000 0.0000
Zn 0.5000 0.0000 0.2500
Zn 0.5000 0.0000 0.7500
Zn 0.7500 0.5000 0.0000
```

Properties
**V**: 22.35 A^3/atom
**Formation enthalpy at 0 K**: -0.08 eV per atom

No. 5
Below is crystalline LaZn at its relaxed geometry, with properties calculated at the GGA-PBE level. Values from VASP.

Cell and atoms, written as Quantum ESPRESSO input:
```
&SYSTEM
  ibrav = 0, nat = 2, ntyp = 2
/
ATOMIC_SPECIES
La 138.91 La.upf
Zn 65.41 Zn.upf
CELL_PARAMETERS angstrom
0.0000 3.4032 3.4032
3.4032 0.0000 3.4032
3.4032 3.4032 0.0000
ATOMIC_POSITIONS crystal
La 0.0000 0.0000 0.0000
Zn 0.7500 0.7500 0.7500
```

Properties
**V**: 39.42 A^3/atom
**Formation enthalpy at 0 K**: 0.53 eV per atom

No. 6
Below is crystalline LaZn2 at its relaxed geometry, with properties calculated at the GGA-PBE level. Values from VASP.

Cell and atoms, written as Quantum ESPRESSO input:
```
&SYSTEM
  ibrav = 0, nat = 6, ntyp = 2
/
ATOMIC_SPECIES
La 138.91 La.upf
Zn 65.41 Zn.upf
CELL_PARAMETERS angstrom
4.4655 -3.7866 0.0000
4.4655 3.7866 0.0000
-2.4459 0.0000 4.0026
ATOMIC_POSITIONS crystal
La 0.2114 0.2114 0.4627
La 0.7886 0.7886 0.5373
Zn 0.2246 0.6046 0.1650
Zn 0.3954 0.7754 0.8350
Zn 0.6046 0.2246 0.1650
Zn 0.7754 0.3954 0.8350
```

Properties
**V**: 22.56 A^3/atom
**Formation enthalpy at 0 K**: -0.37 eV per atom

No. 7
Below is crystalline LaZn3 at its relaxed geometry, with properties calculated at the GGA-PBE level. Values from VASP.

Cell and atoms, written as Quantum ESPRESSO input:
```
&SYSTEM
  ibrav = 0, nat = 16, ntyp = 2
/
ATOMIC_SPECIES
La 138.91 La.upf
Zn 65.41 Zn.upf
CELL_PARAMETERS angstrom
6.2554 0.0000 0.0000
0.0000 9.0751 0.0000
0.0000 0.0000 6.2528
ATOMIC_POSITIONS crystal
La 0.0006 0.2500 0.0005
La 0.4994 0.7500 0.5005
La 0.5006 0.2500 0.4995
La 0.9994 0.7500 0.9995
Zn 0.0008 0.2500 0.5006
Zn 0.1584 0.9999 0.3420
Zn 0.1584 0.5001 0.3420
Zn 0.3416 0.0001 0.8420
Zn 0.3416 0.4999 0.8420
Zn 0.4992 0.7500 0.0006
Zn 0.5008 0.2500 0.9994
Zn 0.6584 0.9999 0.1580
Zn 0.6584 0.5001 0.1580
Zn 0.8416 0.0001 0.6580
Zn 0.8416 0.4999 0.6580
Zn 0.9992 0.7500 0.4994
```

Properties
**V**: 22.18 A^3/atom
**Formation enthalpy at 0 K**: -0.16 eV per atom

No. 8
Below is crystalline La13Zn2 at its relaxed geometry, with properties calculated at the GGA-PBE level. Values from VASP.

Cell and atoms, written as Quantum ESPRESSO input:
```
&SYSTEM
  ibrav = 0, nat = 15, ntyp = 2
/
ATOMIC_SPECIES
La 138.91 La.upf
Zn 65.41 Zn.upf
CELL_PARAMETERS angstrom
6.6254 0.0000 0.0000
1.2536 8.6439 0.0000
2.0247 3.2545 8.9447
ATOMIC_POSITIONS crystal
La 0.0000 0.0000 0.0000
La 0.0496 0.4225 0.6988
La 0.2066 0.1730 0.2386
La 0.2485 0.5955 0.9499
La 0.2769 0.9837 0.6453
La 0.4667 0.3648 0.4197
La 0.4691 0.7921 0.1599
La 0.5309 0.2079 0.8401
La 0.5333 0.6352 0.5803
La 0.7231 0.0163 0.3547
La 0.7515 0.4045 0.0501
La 0.7934 0.8270 0.7614
La 0.9504 0.5775 0.3012
Zn 0.1185 0.7914 0.4547
Zn 0.8815 0.2086 0.5453
```

Properties
**V**: 34.15 A^3/atom
**Formation enthalpy at 0 K**: -0.06 eV per atom